Record 1
DFT (PBE) results for a geometry-optimized RbTlBP structure.

Computed properties:
Crystal system: monoclinic
Energy relative to the lowest polymorph listed for this composition: 77 meV/atom
DFT total energy: -3.64 eV/atom
M_tot: 0.0 μB/cell

a = 4.6446 Å, b = 3.2971 Å, c = 7.9046 Å
α = 90.00°, β = 90.24°, γ = 90.00°
Closest atoms and distances in Å follow each position.
Space group Pm (No. 6)
Unique sites:
Rb  0.0000  0.0000  0.0000 [1 per cell]  2 Rb 3.30, 4 P 3.39, 2 B 3.62-3.63
Tl  0.5061  0.5000  0.3772 [1 per cell]  2 B 2.70
B  0.4980  0.0000  0.6478 [1 per cell]  2 P 1.90
P  0.4982  0.5000  0.7665 [1 per cell]  2 B 1.90


Record 2
DFT (PBE) results for a geometry-optimized BeV2CoH structure.

Computed properties:
Crystal system: tetragonal
Energy relative to the lowest polymorph listed for this composition: 44 meV/atom
DFT total energy: -6.54 eV/atom
M_tot: 0.0 μB/cell

a = 3.6662 Å, b = 3.6662 Å, c = 3.5144 Å
α = 90.00°, β = 90.00°, γ = 90.00°
Closest atoms and distances in Å follow each position.
Space group P4/mmm (No. 123)
Unique sites:
Be  0.0000  0.0000  0.0000 [1 per cell]  2 H 1.76
V  0.0000  0.5000  0.5000 [2 per cell]  2 H 1.83
Co  0.5000  0.5000  0.0000 [1 per cell]  8 V 2.54, 4 Be 2.59
H  0.0000  0.0000  0.5000 [1 per cell]  2 Be 1.76, 4 V 1.83


M_tot of number 2 (BeV2CoH)? 0.0 μB/cell


Which of these has the highest DFT total energy? RbTlBP


Copy entry 1 word for word.
DFT (PBE) results for a geometry-optimized RbTlBP structure.

Computed properties:
Crystal system: monoclinic
Energy relative to the lowest polymorph listed for this composition: 77 meV/atom
DFT total energy: -3.64 eV/atom
M_tot: 0.0 μB/cell

a = 4.6446 Å, b = 3.2971 Å, c = 7.9046 Å
α = 90.00°, β = 90.24°, γ = 90.00°
Closest atoms and distances in Å follow each position.
Space group Pm (No. 6)
Unique sites:
Rb  0.0000  0.0000  0.0000 [1 per cell]  2 Rb 3.30, 4 P 3.39, 2 B 3.62-3.63
Tl  0.5061  0.5000  0.3772 [1 per cell]  2 B 2.70
B  0.4980  0.0000  0.6478 [1 per cell]  2 P 1.90
P  0.4982  0.5000  0.7665 [1 per cell]  2 B 1.90